# HoScSiAu, optimized geometry, DFT PBE
# M_tot = 0.45 μB/f.u.
# raw formation energy = -643 meV per atom
data_HoScSiAu
_chemical_formula_sum 'Ho1 Sc1 Si1 Au1'
_cell_length_a 4.8987
_cell_length_b 4.8987
_cell_length_c 4.8987
_cell_angle_alpha 60.00
_cell_angle_beta 60.00
_cell_angle_gamma 60.00
_space_group_name_H-M_alt 'P 1'
_space_group_IT_number 1
loop_
_space_group_symop_operation_xyz
'x,y,z'
loop_
_atom_site_label
_atom_site_fract_x
_atom_site_fract_y
_atom_site_fract_z
Sc1 0.0000 0.0000 0.0000
Si1 0.7500 0.7500 0.7500
Au1 0.2500 0.2500 0.2500
Ho1 0.5000 0.5000 0.5000

---

# HoScSnAu, optimized geometry, DFT PBE
# formation enthalpy at 0 K = -0.677 eV per atom
# M_tot = 0.71 μB/f.u.
data_HoScSnAu
_chemical_formula_sum 'Ho1 Sc1 Sn1 Au1'
_cell_length_a 5.0729
_cell_length_b 5.0729
_cell_length_c 5.0729
_cell_angle_alpha 60.00
_cell_angle_beta 60.00
_cell_angle_gamma 60.00
_space_group_name_H-M_alt 'P 1'
_space_group_IT_number 1
loop_
_space_group_symop_operation_xyz
'x,y,z'
loop_
_atom_site_label
_atom_site_fract_x
_atom_site_fract_y
_atom_site_fract_z
Sc1 0.5000 0.5000 0.5000
Au1 0.2500 0.2500 0.2500
Ho1 0.0000 0.0000 0.0000
Sn1 0.7500 0.7500 0.7500

---

# HoScTlAu, optimized geometry, DFT PBE
# formation enthalpy at 0 K = -0.529 eV per atom
# offset from the most stable computed form = 44 meV/atom
# M_tot = 0.00 μB/f.u.
data_HoScTlAu
_chemical_formula_sum 'Ho1 Sc1 Tl1 Au1'
_cell_length_a 5.0904
_cell_length_b 5.0904
_cell_length_c 5.0904
_cell_angle_alpha 60.00
_cell_angle_beta 60.00
_cell_angle_gamma 60.00
_space_group_name_H-M_alt 'P 1'
_space_group_IT_number 1
loop_
_space_group_symop_operation_xyz
'x,y,z'
loop_
_atom_site_label
_atom_site_fract_x
_atom_site_fract_y
_atom_site_fract_z
Sc1 0.2500 0.2500 0.2500
Tl1 0.5000 0.5000 0.5000
Au1 0.0000 0.0000 0.0000
Ho1 0.7500 0.7500 0.7500

---

# HoScTlAu, optimized geometry, DFT PBE
# formation enthalpy at 0 K = -0.574 eV per atom
# offset from the most stable computed form = 0 meV/atom
# M_tot = 0.00 μB/f.u.
data_HoScTlAu
_chemical_formula_sum 'Ho1 Sc1 Tl1 Au1'
_cell_length_a 3.5256
_cell_length_b 3.5256
_cell_length_c 7.4696
_cell_angle_alpha 90.00
_cell_angle_beta 90.00
_cell_angle_gamma 90.00
_space_group_name_H-M_alt 'P 1'
_space_group_IT_number 1
loop_
_space_group_symop_operation_xyz
'x,y,z'
loop_
_atom_site_label
_atom_site_fract_x
_atom_site_fract_y
_atom_site_fract_z
Ho1 0.0000 0.0000 0.8381
Sc1 0.0000 0.0000 0.3800
Tl1 0.5000 0.5000 0.1230
Au1 0.5000 0.5000 0.5868

---

# HoScZn2Au4, optimized geometry, DFT PBE
# formation enthalpy at 0 K = -0.624 eV per atom
# M_tot = 0.00 μB/f.u.
data_HoScZn2Au4
_chemical_formula_sum 'Ho1 Sc1 Zn2 Au4'
_cell_length_a 4.7413
_cell_length_b 4.7413
_cell_length_c 8.2043
_cell_angle_alpha 73.20
_cell_angle_beta 73.20
_cell_angle_gamma 60.00
_space_group_name_H-M_alt 'P 1'
_space_group_IT_number 1
loop_
_space_group_symop_operation_xyz
'x,y,z'
loop_
_atom_site_label
_atom_site_fract_x
_atom_site_fract_y
_atom_site_fract_z
Ho1 0.0000 0.0000 0.0000
Sc1 0.5000 0.5000 0.5000
Zn1 0.7500 0.7500 0.7501
Zn2 0.2500 0.2500 0.2499
Au1 0.3796 0.3796 0.8612
Au2 0.8701 0.8701 0.3897
Au3 0.1299 0.1299 0.6103
Au4 0.6204 0.6204 0.1388

---

# Ho3AuSe3, optimized geometry, DFT PBE
# M_tot = 0.00 μB/f.u.
# raw formation energy = -1434 meV per atom
data_Ho3AuSe3
_chemical_formula_sum 'Ho6 Au2 Se6'
_cell_length_a 8.5280
_cell_length_b 8.5280
_cell_length_c 7.5421
_cell_angle_alpha 55.57
_cell_angle_beta 55.57
_cell_angle_gamma 60.00
_space_group_name_H-M_alt 'P 1'
_space_group_IT_number 1
loop_
_space_group_symop_operation_xyz
'x,y,z'
loop_
_atom_site_label
_atom_site_fract_x
_atom_site_fract_y
_atom_site_fract_z
Ho1 0.2852 0.5441 0.2479
Ho2 0.9228 0.2852 0.2479
Ho3 0.5441 0.9228 0.2479
Ho4 0.4559 0.0772 0.7521
Ho5 0.0772 0.7148 0.7521
Ho6 0.7148 0.4559 0.7521
Au1 0.3435 0.3435 0.9696
Au2 0.6565 0.6565 0.0304
Se1 0.3674 0.8004 0.7394
Se2 0.8004 0.0928 0.7394
Se3 0.0928 0.3674 0.7394
Se4 0.9072 0.6326 0.2606
Se5 0.1996 0.9072 0.2606
Se6 0.6326 0.1996 0.2606

---

# Ho6AuSe4, optimized geometry, DFT PBE
# M_tot = 0.00 μB/f.u.
# raw formation energy = -1432 meV per atom
data_Ho6AuSe4
_chemical_formula_sum 'Ho12 Au2 Se8'
_cell_length_a 4.0134
_cell_length_b 6.9173
_cell_length_c 20.6503
_cell_angle_alpha 90.00
_cell_angle_beta 90.00
_cell_angle_gamma 106.86
_space_group_name_H-M_alt 'P 1'
_space_group_IT_number 1
loop_
_space_group_symop_operation_xyz
'x,y,z'
loop_
_atom_site_label
_atom_site_fract_x
_atom_site_fract_y
_atom_site_fract_z
Ho1 0.5000 0.0000 0.0000
Ho2 0.5000 0.0000 0.5000
Ho3 0.0570 0.1140 0.3332
Ho4 0.9430 0.8860 0.6668
Ho5 0.9430 0.8860 0.8332
Ho6 0.0570 0.1140 0.1668
Ho7 0.7716 0.5432 0.4077
Ho8 0.2284 0.4568 0.5923
Ho9 0.2284 0.4568 0.9077
Ho10 0.7716 0.5432 0.0923
Ho11 0.3256 0.6513 0.2500
Ho12 0.6744 0.3487 0.7500
Au1 0.6640 0.3279 0.2500
Au2 0.3360 0.6721 0.7500
Se1 0.8587 0.7173 0.5378
Se2 0.4149 0.8299 0.1248
Se3 0.1413 0.2827 0.4622
Se4 0.5851 0.1701 0.8752
Se5 0.8587 0.7173 0.9622
Se6 0.1413 0.2827 0.0378
Se7 0.5851 0.1701 0.6248
Se8 0.4149 0.8299 0.3752

---

# Ho4AuSe5, optimized geometry, DFT PBE
# M_tot = 0.00 μB/f.u.
# raw formation energy = -1529 meV per atom
data_Ho4AuSe5
_chemical_formula_sum 'Ho4 Au1 Se5'
_cell_length_a 4.0235
_cell_length_b 8.7269
_cell_length_c 9.1369
_cell_angle_alpha 106.45
_cell_angle_beta 102.72
_cell_angle_gamma 90.00
_space_group_name_H-M_alt 'P 1'
_space_group_IT_number 1
loop_
_space_group_symop_operation_xyz
'x,y,z'
loop_
_atom_site_label
_atom_site_fract_x
_atom_site_fract_y
_atom_site_fract_z
Ho1 0.3201 0.8900 0.6402
Ho2 0.9967 0.7267 0.9933
Ho3 0.6799 0.1100 0.3598
Ho4 0.0033 0.2733 0.0067
Au1 0.5000 0.0000 0.0000
Se1 0.8388 0.6841 0.6775
Se2 0.8392 0.1360 0.6784
Se3 0.1608 0.8640 0.3216
Se4 0.5000 0.5000 0.0000
Se5 0.1612 0.3159 0.3225